# 1
## ZnH16C4Br4N2 (GGA-PBE)

Data for a relaxed structure of ZnH16C4Br4N2.

Structure (POSCAR):
```
ZnH16C4Br4N2
1.0
8.661 0.000 0.000
0.000 11.880 0.000
-8.462 0.000 13.447
Zn H C Br N
4 64 16 16 8
direct
0.096 0.201 0.419
0.096 0.299 0.919
0.904 0.701 0.081
0.904 0.799 0.581
0.005 0.726 0.340
0.005 0.774 0.840
0.053 0.530 0.322
0.053 0.970 0.822
0.069 0.050 0.117
0.069 0.450 0.617
0.107 0.712 0.464
0.107 0.788 0.964
0.169 0.515 0.454
0.169 0.985 0.954
0.287 0.681 0.350
0.287 0.819 0.850
0.292 0.575 0.130
0.292 0.925 0.630
0.299 0.008 0.766
0.299 0.492 0.266
0.306 0.066 0.625
0.306 0.434 0.125
0.308 0.700 0.925
0.308 0.800 0.425
0.370 0.554 0.810
0.370 0.946 0.310
0.390 0.097 0.312
0.390 0.403 0.812
0.396 0.666 0.483
0.396 0.834 0.983
0.491 0.520 0.074
0.491 0.980 0.574
0.493 0.578 0.700
0.493 0.922 0.200
0.496 0.073 0.192
0.496 0.427 0.692
0.504 0.573 0.308
0.504 0.927 0.808
0.507 0.078 0.800
0.507 0.422 0.300
0.509 0.020 0.426
0.509 0.480 0.926
0.604 0.166 0.017
0.604 0.334 0.517
0.610 0.597 0.188
0.610 0.903 0.688
0.630 0.054 0.690
0.630 0.446 0.190
0.692 0.200 0.575
0.692 0.300 0.075
0.694 0.566 0.875
0.694 0.934 0.375
0.701 0.508 0.734
0.701 0.992 0.234
0.708 0.075 0.370
0.708 0.425 0.870
0.713 0.181 0.150
0.713 0.319 0.650
0.831 0.015 0.046
0.831 0.485 0.546
0.893 0.212 0.036
0.893 0.288 0.536
0.931 0.550 0.383
0.931 0.950 0.883
0.947 0.030 0.178
0.947 0.470 0.678
0.995 0.226 0.160
0.995 0.274 0.660
0.062 0.561 0.389
0.062 0.939 0.889
0.287 0.709 0.416
0.287 0.791 0.916
0.426 0.002 0.767
0.426 0.498 0.267
0.461 0.018 0.347
0.461 0.482 0.847
0.539 0.518 0.153
0.539 0.982 0.653
0.574 0.502 0.733
0.574 0.998 0.233
0.713 0.209 0.084
0.713 0.291 0.584
0.938 0.061 0.111
0.938 0.439 0.611
0.089 0.502 0.903
0.089 0.998 0.403
0.202 0.214 0.821
0.202 0.286 0.321
0.213 0.732 0.635
0.213 0.768 0.135
0.285 0.242 0.091
0.285 0.258 0.591
0.715 0.742 0.409
0.715 0.758 0.909
0.787 0.232 0.865
0.787 0.268 0.365
0.798 0.714 0.679
0.798 0.786 0.179
0.911 0.002 0.597
0.911 0.498 0.097
0.108 0.683 0.402
0.108 0.817 0.902
0.378 0.506 0.163
0.378 0.994 0.663
0.622 0.006 0.337
0.622 0.494 0.837
0.892 0.183 0.098
0.892 0.317 0.598
```

Values from the calculation:
Total DFT energy (no corrections): -4.661 eV per atom



# 2
## HgSb2O4 (GGA-PBE)

Data for a relaxed structure of HgSb2O4.

Structure (POSCAR):
```
HgSb2O4
1.0
0.000 4.867 4.867
4.867 0.000 4.867
4.867 4.867 0.000
Hg Sb O
2 4 8
direct
0.125 0.125 0.125
0.875 0.875 0.875
0.000 0.500 0.500
0.500 0.000 0.500
0.500 0.500 0.000
0.500 0.500 0.500
0.261 0.261 0.261
0.261 0.261 0.716
0.261 0.716 0.261
0.284 0.739 0.739
0.716 0.261 0.261
0.739 0.284 0.739
0.739 0.739 0.284
0.739 0.739 0.739
```

Values from the calculation:
Total DFT energy (no corrections): -4.783 eV per atom